--- P ---
Pm2ScTe4, relaxed, DFT PBE-GGA; space-group type = Cmcm; density = 6.09 Mg/m³
1.0
-2.9477 -2.3595 -1.8163
6.1411 -0.5233 -4.4538
4.6962 -11.9309 7.8773
Pm Sc Te
4 2 8
Direct
0.1323 0.2645 0.4252
0.8677 0.7355 0.9252
0.1323 0.2645 0.0748
0.8677 0.7355 0.5748
0.6330 0.2660 0.7500
0.3670 0.7340 0.2500
0.7851 0.5702 0.1267
0.7851 0.5702 0.3733
0.2149 0.4298 0.8733
0.2149 0.4298 0.6267
0.9859 0.9717 0.7500
0.0141 0.0283 0.2500
0.5000 0.0000 0.0000
0.5000 0.0000 0.5000

---

--- Q ---
Pm2ScTe4, relaxed, DFT PBE-GGA; space-group type = C2/m; density = 5.95 Mg/m³
1.0
4.1933 0.0000 -1.1475
-0.9595 6.8020 -3.5061
0.0243 -0.1157 8.3240
Pm Sc Te
2 1 4
Direct
0.7403 0.7518 0.4806
0.2597 0.2482 0.5194
0.0000 0.0000 0.0000
0.8883 0.2077 0.7765
0.1117 0.7923 0.2235
0.6202 0.2763 0.2404
0.3798 0.7237 0.7596

---

Stability verdict: Q, ahead by 84 meV/atom

---

--- P ---
Pm2Th2Sc5, relaxed, DFT PBE-GGA; space-group type = C2/m; density = 6.33 Mg/m³
1.0
3.3585 -0.4998 -0.0867
-2.5755 16.7572 -2.4998
-0.1327 -1.7522 4.9510
Pm Th Sc
2 2 5
Direct
0.5947 0.2133 0.3201
0.4053 0.7867 0.6799
0.7182 0.6536 0.9804
0.2818 0.3464 0.0196
0.9288 0.4440 0.6661
0.0712 0.5560 0.3339
0.1507 0.9017 0.3526
0.8493 0.0983 0.6474
0.0000 0.0000 0.0000

---

--- Q ---
Pm2Th2Sc5, relaxed, DFT PBE-GGA; space-group type = Ima2; density = 6.14 Mg/m³
1.0
9.0653 0.0000 0.0000
0.0000 8.4520 0.0000
-4.5327 -4.2260 6.9136
Pm Th Sc
4 4 10
Direct
0.0619 0.6668 0.2478
0.9381 0.4190 0.7522
0.6858 0.1668 0.2478
0.3142 0.9190 0.7522
0.0000 0.8660 0.0000
0.5000 0.3660 0.0000
0.2489 0.4572 0.5000
0.7511 0.9572 0.5000
0.3126 0.6896 0.9582
0.6874 0.7315 0.0418
0.1456 0.1896 0.9582
0.8544 0.2315 0.0418
0.3710 0.0901 0.2938
0.6290 0.7963 0.7062
0.4228 0.5901 0.2938
0.5772 0.2963 0.7062
0.9054 0.6195 0.5000
0.0946 0.1195 0.5000

---

Stability verdict: P, ahead by 240 meV/atom

---

--- P ---
PmTh2Sc, relaxed, DFT PBE-GGA; space-group type = R-3m; density = 8.72 Mg/m³
1.0
3.4292 0.0000 0.0000
1.7146 2.9698 0.0000
1.7146 0.9899 12.2311
Sc Th Pm
1 2 1
Direct
0.5000 0.5000 0.5000
0.0900 0.0900 0.7300
0.9100 0.9100 0.2700
0.0000 0.0000 0.0000

---

--- Q ---
PmTh2Sc, relaxed, DFT PBE-GGA; space-group type = Fm-3m; density = 8.85 Mg/m³
1.0
-0.5204 -5.2268 1.8773
3.8706 -3.8141 -1.2594
3.4396 -1.8962 3.9609
Sc Th Pm
1 2 1
Direct
0.5000 0.5000 0.5000
0.2500 0.2500 0.2500
0.7500 0.7500 0.7500
0.0000 0.0000 0.0000

---

--- R ---
PmTh2Sc, relaxed, DFT PBE-GGA; space-group type = R3m; density = 8.84 Mg/m³
1.0
-1.4766 0.9818 3.0444
-2.8852 -1.6485 1.1709
5.1068 -7.7258 7.0071
Pm Th Sc
1 2 1
Direct
0.4982 0.4982 0.5055
0.0798 0.0798 0.7607
0.2540 0.2540 0.2379
0.6681 0.6681 0.9958

---

Stability verdict: R, ahead by 86 meV/atom

---

--- P ---
PmTh2Sc, relaxed, DFT PBE-GGA; space-group type = P4/mmm; density = 8.81 Mg/m³
1.0
5.0010 0.0000 0.0000
0.0000 4.9639 0.0000
0.0000 0.0000 4.9639
Sc Th Pm
1 2 1
Direct
0.5000 0.0000 0.0000
0.0000 0.0000 0.5000
0.0000 0.5000 0.0000
0.5000 0.5000 0.5000

---

--- Q ---
PmTh2Sc, relaxed, DFT PBE-GGA; space-group type = P4/nmm; density = 8.78 Mg/m³
1.0
3.5629 0.0000 -0.0037
0.0000 3.5628 0.0000
0.0197 0.0000 19.4832
Pm Th Sc
2 4 2
Direct
0.2504 0.2500 0.4265
0.7496 0.7500 0.5735
0.2495 0.2500 0.7005
0.7505 0.7500 0.2995
0.2499 0.2500 0.9369
0.7501 0.7500 0.0631
0.2504 0.2500 0.1833
0.7496 0.7500 0.8167

---

Stability verdict: Q, ahead by 23 meV/atom

---

--- P ---
PmTmThSc, relaxed, DFT PBE-GGA; space-group type = P4mm; density = 8.13 Mg/m³
1.0
-1.4151 -1.8482 -2.6786
3.1559 -1.4924 -0.6376
-2.1457 -7.1207 6.0466
Pm Tm Th Sc
1 1 1 1
Direct
0.0000 0.0000 0.0810
0.5000 0.5000 0.8131
0.0000 0.0000 0.5623
0.5000 0.5000 0.3283

---

--- Q ---
PmTmThSc, relaxed, DFT PBE-GGA; space-group type = F-43m; density = 8.09 Mg/m³
1.0
-3.3375 2.1693 -3.8774
-1.3158 -2.9680 -4.5098
-5.1635 -1.9543 -0.6308
Sc Tm Th Pm
1 1 1 1
Direct
0.2500 0.2500 0.2500
0.7500 0.7500 0.7500
0.5000 0.5000 0.5000
0.0000 0.0000 0.0000

---

Stability verdict: P, ahead by 79 meV/atom

---

--- P ---
PmYThSc, relaxed, DFT PBE-GGA; space-group type = Amm2; density = 6.95 Mg/m³
1.0
-2.3094 2.0022 1.5765
0.7096 -2.7546 4.5377
5.9807 3.1726 0.9907
Pm Y Th Sc
1 1 1 1
Direct
0.6120 0.0000 0.1557
0.7465 0.5000 0.4227
0.9910 0.5000 0.9133
0.3584 0.0000 0.6476

---

--- Q ---
PmYThSc, relaxed, DFT PBE-GGA; space-group type = F-43m; density = 6.86 Mg/m³
1.0
5.5932 0.0000 0.0000
2.7966 4.8439 0.0000
2.7966 1.6146 4.5669
Y Sc Th Pm
1 1 1 1
Direct
0.0000 0.0000 0.0000
0.2500 0.2500 0.2500
0.5000 0.5000 0.5000
0.7500 0.7500 0.7500

---

Stability verdict: P, ahead by 59 meV/atom

---

--- P ---
PmSc2Ti, relaxed, DFT PBE-GGA; space-group type = R3m; density = 4.79 Mg/m³
1.0
3.2722 0.0000 0.0000
1.6361 2.8338 0.0000
1.6361 0.9446 10.5820
Pm Sc Ti
1 2 1
Direct
0.5008 0.5008 0.4976
0.0738 0.0738 0.7785
0.2592 0.2592 0.2224
0.6661 0.6661 0.0016

---

--- Q ---
PmSc2Ti, relaxed, DFT PBE-GGA; space-group type = P4/mmm; density = 4.81 Mg/m³
1.0
4.6635 0.0000 0.0000
0.0000 4.5764 0.0000
0.0000 0.0000 4.5764
Sc Ti Pm
2 1 1
Direct
0.0000 0.0000 0.5000
0.0000 0.5000 0.0000
0.5000 0.0000 0.0000
0.5000 0.5000 0.5000

---

--- R ---
PmSc2Ti, relaxed, DFT PBE-GGA; space-group type = Fm-3m; density = 4.78 Mg/m³
1.0
-4.3263 -2.6729 0.9886
-2.8018 -1.9304 -3.9066
-0.1284 -5.1143 -0.8157
Sc Ti Pm
2 1 1
Direct
0.2500 0.2500 0.2500
0.7500 0.7500 0.7500
0.5000 0.5000 0.5000
0.0000 0.0000 0.0000

---

Stability verdict: P, ahead by 18 meV/atom

---

--- P ---
PmSc2Ti, relaxed, DFT PBE-GGA; space-group type = R-3m; density = 4.81 Mg/m³
1.0
3.2654 0.0000 0.0000
1.6327 2.8279 0.0000
1.6327 0.9426 10.5740
Sc Ti Pm
2 1 1
Direct
0.7410 0.7410 0.7769
0.2590 0.2590 0.2231
0.0000 0.0000 0.0000
0.5000 0.5000 0.5000

---

--- Q ---
PmSc2Ti, relaxed, DFT PBE-GGA; space-group type = P4/mmm; density = 4.66 Mg/m³
1.0
3.5649 0.0000 0.0000
0.0000 3.5649 0.0000
0.0000 0.0000 7.9266
Sc Ti Pm
2 1 1
Direct
0.0000 0.0000 0.7970
0.0000 0.0000 0.2030
0.5000 0.5000 0.0000
0.5000 0.5000 0.5000

---

Stability verdict: Q, ahead by 13 meV/atom

---

--- P ---
PmScTl, relaxed, DFT PBE-GGA; space-group type = I4/mmm; density = 7.63 Mg/m³
1.0
-1.4286 0.6238 3.2569
-1.3130 -3.3628 0.0682
12.4672 -2.8480 4.0125
Pm Sc Tl
2 2 2
Direct
0.5682 0.5682 0.1364
0.4318 0.4318 0.8636
0.2859 0.2859 0.5719
0.7141 0.7141 0.4281
0.1482 0.1482 0.2965
0.8518 0.8518 0.7035

---

--- Q ---
PmScTl, relaxed, DFT PBE-GGA; space-group type = Immm; density = 7.78 Mg/m³
1.0
-3.5611 2.1839 -1.7286
-2.4580 -3.5364 -5.3161
-4.9737 0.2812 4.6895
Sc Pm Tl
2 2 2
Direct
0.0000 0.8734 0.1266
0.0000 0.1266 0.8734
0.5000 0.6555 0.3445
0.5000 0.3445 0.6555
0.7410 0.7590 0.7590
0.2590 0.2410 0.2410

---

Stability verdict: P, ahead by 86 meV/atom

---

--- P ---
PmScTl, relaxed, DFT PBE-GGA; space-group type = P4/nmm; density = 7.68 Mg/m³
1.0
4.5708 0.0000 0.0000
0.0000 4.5708 0.0000
0.0000 0.0000 8.1596
Pm Sc Tl
2 2 2
Direct
0.0000 0.5000 0.8494
0.5000 0.0000 0.1506
0.5000 0.5000 0.5000
0.0000 0.0000 0.5000
0.0000 0.5000 0.2479
0.5000 0.0000 0.7521

---

--- Q ---
PmScTl, relaxed, DFT PBE-GGA; space-group type = P-6m2; density = 7.74 Mg/m³
1.0
-3.3477 -1.5926 -0.6200
2.2573 -4.5388 -0.5298
-1.5826 1.5383 4.5941
Sc Tl Pm
1 1 1
Direct
0.5006 0.6667 0.3333
0.4994 0.3333 0.6667
0.0000 0.0000 0.0000

---

Stability verdict: P, ahead by 77 meV/atom

---

--- P ---
Pm3ScTl2, relaxed, DFT PBE-GGA; space-group type = Ibam; density = 8.15 Mg/m³
1.0
6.6121 0.0000 0.0000
0.0000 6.5699 0.0000
-3.3061 -3.2850 8.3329
Pm Sc Tl
6 2 4
Direct
0.4235 0.6760 0.3521
0.5765 0.3240 0.6479
0.0714 0.8240 0.6479
0.9286 0.1760 0.3521
0.5000 0.7500 0.0000
0.5000 0.2500 0.0000
0.0000 0.2500 0.0000
0.0000 0.7500 0.0000
0.3681 0.1323 0.2647
0.6319 0.8677 0.7353
0.1035 0.3677 0.7353
0.8965 0.6323 0.2647

---

--- Q ---
Pm3ScTl2, relaxed, DFT PBE-GGA; space-group type = Immm; density = 8.12 Mg/m³
1.0
-2.3705 -8.4978 -1.9212
-6.5318 -5.7632 2.3755
2.6286 8.1878 -2.7519
Pm Sc Tl
3 1 2
Direct
0.5000 0.5000 0.0000
0.3246 0.8246 0.5000
0.6754 0.1754 0.5000
0.0000 0.0000 0.0000
0.8662 0.3662 0.5000
0.1338 0.6338 0.5000

---

Stability verdict: Q, ahead by 13 meV/atom

---

--- P ---
PmSc3Tl, relaxed, DFT PBE-GGA; space-group type = Pmmn; density = 6.04 Mg/m³
1.0
5.1580 0.0000 0.0000
0.0000 6.9187 0.0000
0.0000 0.0000 7.4619
Pm Sc Tl
2 6 2
Direct
0.5000 0.0000 0.1893
0.0000 0.5000 0.8107
0.0000 0.7157 0.2770
0.5000 0.7843 0.7230
0.5000 0.2157 0.7230
0.0000 0.2843 0.2770
0.0000 0.0000 0.9404
0.5000 0.5000 0.0596
0.0000 0.0000 0.5655
0.5000 0.5000 0.4345

---

--- Q ---
PmSc3Tl, relaxed, DFT PBE-GGA; space-group type = P6_3/mmc; density = 5.61 Mg/m³
1.0
5.9586 0.0000 0.0000
-0.0003 7.4546 0.0000
0.0006 -3.7276 6.4572
Pm Sc Tl
2 6 2
Direct
0.7499 0.6668 0.3334
0.2501 0.3332 0.6666
0.7500 0.6072 0.8036
0.2500 0.8036 0.6072
0.2500 0.3928 0.1964
0.7500 0.1964 0.3928
0.2500 0.8035 0.1964
0.7500 0.1965 0.8036
0.0000 0.0000 0.0000
0.5000 0.0000 0.0000

---

Stability verdict: P, ahead by 193 meV/atom